1.
The following is a DFT calculation (PBE) of Na5H4BrO4 after structural relaxation.

Calculated values
raw total energy = -4.3310 eV/atom

abc: 11.8562 18.8245 6.5422
angles: 90.00 90.00 90.00
Sites, in units of the cell vectors:
Na  0.0000  0.0000  0.0000
Na  0.0000  0.5000  0.0000
Na  0.0136  0.2500  0.1462
Na  0.0488  0.2500  0.6082
Na  0.1022  0.6244  0.2429
Na  0.1022  0.8756  0.2429
Na  0.1522  0.1257  0.3648
Na  0.1522  0.3743  0.3648
Na  0.1896  0.7500  0.5423
Na  0.2343  0.5038  0.6229
Na  0.2343  0.9962  0.6229
Na  0.2657  0.0038  0.1229
Na  0.2657  0.4962  0.1229
Na  0.3104  0.2500  0.0423
Na  0.3478  0.6257  0.8648
Na  0.3478  0.8743  0.8648
Na  0.3978  0.1244  0.7429
Na  0.3978  0.3756  0.7429
Na  0.4512  0.7500  0.1082
Na  0.4864  0.7500  0.6462
Na  0.5000  0.0000  0.5000
Na  0.5000  0.5000  0.5000
Na  0.5136  0.2500  0.3538
Na  0.5488  0.2500  0.8918
Na  0.6022  0.6244  0.2571
Na  0.6022  0.8756  0.2571
Na  0.6522  0.1257  0.1352
Na  0.6522  0.3743  0.1352
Na  0.6896  0.7500  0.9577
Na  0.7343  0.5038  0.8771
Na  0.7343  0.9962  0.8771
Na  0.7657  0.0038  0.3771
Na  0.7657  0.4962  0.3771
Na  0.8104  0.2500  0.4577
Na  0.8478  0.6257  0.6352
Na  0.8478  0.8743  0.6352
Na  0.8978  0.1244  0.7571
Na  0.8978  0.3756  0.7571
Na  0.9512  0.7500  0.3918
Na  0.9864  0.7500  0.8538
H  0.0254  0.0112  0.3809
H  0.0254  0.4888  0.3809
H  0.0664  0.6178  0.6159
H  0.0664  0.8822  0.6159
H  0.1280  0.6160  0.8544
H  0.1280  0.8840  0.8544
H  0.1832  0.7500  0.1420
H  0.2343  0.7500  0.8995
H  0.2657  0.2500  0.3995
H  0.3168  0.2500  0.6420
H  0.3720  0.1160  0.3544
H  0.3720  0.3840  0.3544
H  0.4336  0.1178  0.1159
H  0.4336  0.3822  0.1159
H  0.4746  0.5112  0.8809
H  0.4746  0.9888  0.8809
H  0.5254  0.0112  0.1191
H  0.5254  0.4888  0.1191
H  0.5664  0.6178  0.8841
H  0.5664  0.8822  0.8841
H  0.6280  0.6160  0.6456
H  0.6280  0.8840  0.6456
H  0.6832  0.7500  0.3580
H  0.7343  0.7500  0.6005
H  0.7657  0.2500  0.1005
H  0.8168  0.2500  0.8580
H  0.8720  0.1160  0.1456
H  0.8720  0.3840  0.1456
H  0.9336  0.1178  0.3841
H  0.9336  0.3822  0.3841
H  0.9746  0.5112  0.6191
H  0.9746  0.9888  0.6191
Br  0.1506  0.1310  0.8748
Br  0.1506  0.3690  0.8748
Br  0.3494  0.6310  0.3748
Br  0.3494  0.8690  0.3748
Br  0.6506  0.1310  0.6252
Br  0.6506  0.3690  0.6252
Br  0.8494  0.6310  0.1252
Br  0.8494  0.8690  0.1252
O  0.0415  0.6664  0.5929
O  0.0415  0.8336  0.5929
O  0.1015  0.7500  0.1567
O  0.1022  0.9997  0.3392
O  0.1022  0.5003  0.3392
O  0.1611  0.5724  0.9089
O  0.1611  0.9276  0.9089
O  0.1902  0.2500  0.3403
O  0.3098  0.7500  0.8403
O  0.3389  0.0724  0.4089
O  0.3389  0.4276  0.4089
O  0.3978  0.0003  0.8392
O  0.3978  0.4997  0.8392
O  0.3985  0.2500  0.6567
O  0.4585  0.1664  0.0929
O  0.4585  0.3336  0.0929
O  0.5415  0.6664  0.9071
O  0.5415  0.8336  0.9071
O  0.6015  0.7500  0.3433
O  0.6022  0.9997  0.1608
O  0.6022  0.5003  0.1608
O  0.6611  0.5724  0.5911
O  0.6611  0.9276  0.5911
O  0.6902  0.2500  0.1597
O  0.8098  0.7500  0.6597
O  0.8389  0.0724  0.0911
O  0.8389  0.4276  0.0911
O  0.8978  0.0003  0.6608
O  0.8978  0.4997  0.6608
O  0.8985  0.2500  0.8433
O  0.9585  0.1664  0.4071
O  0.9585  0.3336  0.4071

2.
The following is a DFT calculation (PBE) of Na2H2Br2O after structural relaxation.

Calculated values
raw total energy = -3.6446 eV/atom

abc: 5.9524 5.9524 3.8602
angles: 104.83 104.83 74.80
Sites, in units of the cell vectors:
Na  0.2478  0.7522  0.0000
Na  0.7522  0.2478  0.0000
H  0.3926  0.3926  0.4881
H  0.6074  0.6074  0.5119
Br  0.1974  0.1974  0.6275
Br  0.8026  0.8026  0.3725
O  0.5000  0.5000  0.5000

3.
The following is a DFT calculation (PBE) of NaPuH2Br8 after structural relaxation.

Calculated values
raw total energy = -3.8454 eV/atom

abc: 7.0613 7.5273 8.5025
angles: 91.15 91.88 90.32
Sites, in units of the cell vectors:
Na  0.0000  0.0000  0.0000
Pu  0.0000  0.0000  0.5000
H  0.2499  0.3138  0.2114
H  0.7501  0.6862  0.7886
Br  0.2052  0.8338  0.2788
Br  0.2262  0.2893  0.4842
Br  0.2308  0.8678  0.7284
Br  0.2605  0.3215  0.0399
Br  0.7395  0.6785  0.9601
Br  0.7692  0.1322  0.2716
Br  0.7738  0.7107  0.5158
Br  0.7948  0.1662  0.7212

Which of these has the lowest raw total energy? Na5H4BrO4

Among the records above, which one has the highest raw total energy? Na2H2Br2O